No. 1
Dy3ZrSb4: optimized geometry, GGA-PBE.

abc: 7.476 8.647 7.455
angles: 90.00 109.54 90.00
Element x y z (fractional)
1 Dy 0.000 0.125 0.250
2 Dy 0.000 0.375 0.750
3 Dy 0.000 0.625 0.250
4 Dy 0.000 0.875 0.750
5 Dy 0.500 0.125 0.750
6 Dy 0.500 0.875 0.250
7 Zr 0.500 0.376 0.250
8 Zr 0.500 0.624 0.750
9 Sb 0.255 0.130 0.005
10 Sb 0.255 0.870 0.505
11 Sb 0.260 0.380 0.500
12 Sb 0.260 0.620 0.000
13 Sb 0.740 0.380 0.000
14 Sb 0.740 0.620 0.500
15 Sb 0.745 0.130 0.495
16 Sb 0.745 0.870 0.995

Computed properties:
calculated total energy	-5.846	eV per atom
calculated density	7.8	g cm⁻³
total magnetization	0.00	μB/cell
uncorrected formation energy	-7.92	eV/f.u.


No. 2
Dy2Sc: optimized geometry, GGA-PBE.

abc: 3.467 3.467 14.491
angles: 90.00 90.00 90.00
Element x y z (fractional)
1 Dy 0.000 0.000 0.162
2 Dy 0.000 0.000 0.838
3 Dy 0.500 0.500 0.338
4 Dy 0.500 0.500 0.662
5 Sc 0.000 0.000 0.500
6 Sc 0.500 0.500 0.000

Computed properties:
calculated total energy	-5.134	eV per atom
calculated density	7.1	g cm⁻³
distance to the lowest polymorph of the same formula	0.000	eV/f.u.
total magnetization	0.00	μB/cell
DFT formation energy	44.4	meV per atom


No. 3
Dy2Sc: optimized geometry, GGA-PBE.

abc: 3.401 5.610 9.512
angles: 90.00 90.00 90.00
Element x y z (fractional)
1 Dy 0.000 0.000 0.188
2 Dy 0.000 0.000 0.812
3 Dy 0.500 0.500 0.312
4 Dy 0.500 0.500 0.688
5 Sc 0.000 0.500 0.000
6 Sc 0.500 0.000 0.500

Computed properties:
calculated total energy	-4.982	eV per atom
calculated density	6.8	g cm⁻³
distance to the lowest polymorph of the same formula	0.456	eV/f.u.
total magnetization	0.00	μB/cell
DFT formation energy	196.3	meV per atom


No. 4
Dy2Sc: optimized geometry, GGA-PBE.

abc: 5.957 10.344 5.982
angles: 90.00 109.33 90.00
Element x y z (fractional)
1 Dy 0.000 0.083 0.250
2 Dy 0.000 0.253 0.750
3 Dy 0.000 0.747 0.250
4 Dy 0.000 0.917 0.750
5 Dy 0.500 0.247 0.250
6 Dy 0.500 0.417 0.750
7 Dy 0.500 0.583 0.250
8 Dy 0.500 0.753 0.750
9 Sc 0.000 0.419 0.250
10 Sc 0.000 0.581 0.750
11 Sc 0.500 0.081 0.750
12 Sc 0.500 0.919 0.250

Computed properties:
calculated total energy	-5.132	eV per atom
calculated density	7.1	g cm⁻³
distance to the lowest polymorph of the same formula	0.007	eV/f.u.
total magnetization	0.00	μB/cell
DFT formation energy	46.6	meV per atom